# Tm2HfTe

Crystalline Tm2HfTe at its relaxed geometry (PBE, Alexandria).

a = 3.763 Å, b = 3.763 Å, c = 7.328 Å
α = 90.00°, β = 90.00°, γ = 90.00°
Sites, in units of the cell vectors:
Tm 0.000 0.000 0.242
Tm 0.000 0.000 0.758
Hf 0.500 0.500 0.500
Te 0.500 0.500 0.000

Properties
Crystal system ... tetragonal
Raw formation energy ... -0.42 eV per atom
Symmetry ... P4/mmm, No. 123
ρ ... 10.3 g/cm³